(1)
Computed, not measured: Mg3HIr6 after structural relaxation at the PBE-GGA level of DFT.

```
10
Lattice="4.8195 0.0000 0.0000 2.4068 4.2078 0.0000 1.6428 0.0001 6.8415" Properties=species:S:1:pos:R:3 pbc="T T T"
Mg 0.0000 0.0000 0.0000
Mg 2.4357 1.4702 4.4747
Mg 4.8430 2.7352 4.4892
H 1.2232 0.0013 3.3379
Ir 3.1888 2.8001 2.1772
Ir 2.4206 1.3600 0.0018
Ir 5.6891 4.1864 2.2089
Ir 6.4744 2.8432 6.8298
Ir 4.7517 0.0013 4.5658
Ir 5.5780 1.4139 2.1779
```

Values from the calculation:
The value obtained for the density of states at the Fermi level is 6.94 states/eV per cell. Its crystal system is triclinic. The calculation puts the relative energy among the computed polymorphs at 8.0 meV/atom.

***

(2)
Computed, not measured: Mg4H4Ir after structural relaxation at the PBE-GGA level of DFT.

```
9
Lattice="4.7000 -2.1359 0.0000 4.7000 2.1359 0.0000 -0.0011 0.0000 5.8040" Properties=species:S:1:pos:R:3 pbc="T T T"
Mg 0.0000 0.0000 0.0000
Mg 9.3970 0.0000 2.8095
Mg 2.9827 0.0000 4.3107
Mg 6.7828 0.0000 1.4061
H 1.1149 0.0000 4.3049
H 4.9479 0.0000 0.0298
H 4.9489 0.0000 2.7702
H 8.0412 0.0000 4.3035
Ir 3.9450 0.0000 1.4010
```

Values from the calculation:
The value obtained for the density of states at the Fermi level is 0.43 states/eV per cell. Its crystal system is monoclinic. The calculation puts the relative energy among the computed polymorphs at 28.6 meV/atom.